[1]
Here is an optimized crystal structure of NdHf2Ir2 from the Open Quantum Materials Database. Energies are from PBE.

energy of formation	-0.83	eV/atom
theoretical density	13.2	g/cm3

```
data_NdHf2Ir2
_chemical_formula_sum 'Nd2 Hf4 Ir4'
_cell_length_a 4.487
_cell_length_b 4.487
_cell_length_c 11.046
_cell_angle_alpha 90.00
_cell_angle_beta 90.00
_cell_angle_gamma 90.00
_space_group_name_H-M_alt 'I 4/m m m'
_space_group_IT_number 139
_space_group_name_Hall '-I 4 2'
loop_
_atom_site_label
_atom_site_type_symbol
_atom_site_fract_x
_atom_site_fract_y
_atom_site_fract_z
Nd1 Nd 0.000 0.000 0.000
Hf1 Hf 0.000 0.500 0.250
Ir1 Ir 0.000 0.000 0.382
```


[2]
Here is an optimized crystal structure of NdHfIr from the Open Quantum Materials Database. Energies are from PBE.

energy of formation	0.68	eV/atom
theoretical density	11.9	g/cm3
ΔE to the lowest computed polymorph	1384	meV/atom

```
data_NdHfIr
_chemical_formula_sum 'Nd4 Hf4 Ir4'
_cell_length_a 6.603
_cell_length_b 6.603
_cell_length_c 6.603
_cell_angle_alpha 90.00
_cell_angle_beta 90.00
_cell_angle_gamma 90.00
_space_group_name_H-M_alt 'F -4 3 m'
_space_group_IT_number 216
_space_group_name_Hall 'F -4 2 3'
loop_
_atom_site_label
_atom_site_type_symbol
_atom_site_fract_x
_atom_site_fract_y
_atom_site_fract_z
Nd1 Nd 0.000 0.000 0.000
Hf1 Hf 0.250 0.250 0.750
Ir1 Ir 0.250 0.250 0.250
```